(1)
A plane-wave DFT calculation with GGA-PBE was carried out for CdCuTe2 after structural relaxation.

a b c (Å): 7.5880 7.5880 7.5880
angles (deg): 130.94 130.94 71.90
Fractional positions:
1 Cd 0.0000 0.0000 0.0000
2 Cd 0.7500 0.2500 0.5000
3 Cu 0.2500 0.7500 0.5000
4 Cu 0.5000 0.5000 0.0000
5 Te 0.1638 0.6250 0.0388
6 Te 0.3750 0.4138 0.5388
7 Te 0.5862 0.1250 0.9612
8 Te 0.8750 0.8362 0.4612

Output
- crystal system = tetragonal
- raw formation energy (eV per atom) = -0.2033
- total magnetic moment (μB per formula unit) = 0.00
- uncorrected energy (eV/atom) = -3.027
- density (Mg/m³) = 5.87

---

(2)
A plane-wave DFT calculation with GGA-PBE was carried out for CdCuTe2 after structural relaxation.

a b c (Å): 4.8768 4.8768 4.0353
angles (deg): 90.00 90.00 90.00
Fractional positions:
1 Cd 0.0000 0.0000 0.0000
2 Cu 0.5000 0.5000 0.0000
3 Te 0.0000 0.5000 0.5000
4 Te 0.5000 0.0000 0.5000

Output
- crystal system = tetragonal
- raw formation energy (eV per atom) = 0.3239
- total magnetic moment (μB per formula unit) = 0.00
- uncorrected energy (eV/atom) = -2.500
- density (Mg/m³) = 7.46

---

(3)
A plane-wave DFT calculation with GGA-PBE was carried out for CdCuTe after structural relaxation.

a b c (Å): 6.8512 6.6860 3.2727
angles (deg): 78.83 73.22 27.95
Fractional positions:
1 Cd 0.0000 0.0000 0.0000
2 Cu 0.3624 0.3624 0.6376
3 Te 0.7231 0.7231 0.2769

Output
- crystal system = orthorhombic
- raw formation energy (eV per atom) = 0.2186
- total magnetic moment (μB per formula unit) = 0.00
- uncorrected energy (eV/atom) = -2.499
- density (Mg/m³) = 7.57
- energy relative to the lowest polymorph listed for this composition (meV per atom) = 208

---

(4)
A plane-wave DFT calculation with GGA-PBE was carried out for CdCuTe2 after structural relaxation.

a b c (Å): 4.4520 4.4520 7.5391
angles (deg): 113.34 113.34 57.49
Fractional positions:
1 Cd 0.0000 0.0000 0.0000
2 Cu 0.9180 0.9180 0.5817
3 Te 0.2814 0.2814 0.6740
4 Te 0.7641 0.7641 0.1988

Output
- crystal system = monoclinic
- raw formation energy (eV per atom) = -0.1462
- total magnetic moment (μB per formula unit) = 0.00
- uncorrected energy (eV/atom) = -2.970
- density (Mg/m³) = 6.37

---

(5)
A plane-wave DFT calculation with GGA-PBE was carried out for CdCuTe2 after structural relaxation.

a b c (Å): 3.9336 4.0386 7.0424
angles (deg): 90.00 90.00 90.00
Fractional positions:
1 Cd 0.0000 0.0000 0.0000
2 Cu 0.0000 0.5000 0.5000
3 Te 0.5000 0.0000 0.5000
4 Te 0.5000 0.5000 0.0000

Output
- crystal system = orthorhombic
- raw formation energy (eV per atom) = 0.2084
- total magnetic moment (μB per formula unit) = 0.00
- uncorrected energy (eV/atom) = -2.615
- density (Mg/m³) = 6.40

---

(6)
A plane-wave DFT calculation with GGA-PBE was carried out for Th2CdCu9 after structural relaxation.

a b c (Å): 8.9117 8.9117 8.9117
angles (deg): 33.65 33.65 33.65
Fractional positions:
1 Th 0.1381 0.1381 0.1381
2 Th 0.8619 0.8619 0.8619
3 Cd 0.0000 0.0000 0.0000
4 Cu 0.0798 0.5800 0.5800
5 Cu 0.3327 0.3327 0.3327
6 Cu 0.4200 0.4200 0.9202
7 Cu 0.4200 0.9202 0.4200
8 Cu 0.5000 0.5000 0.5000
9 Cu 0.5800 0.0798 0.5800
10 Cu 0.5800 0.5800 0.0798
11 Cu 0.6673 0.6673 0.6673
12 Cu 0.9202 0.4200 0.4200

Output
- crystal system = trigonal
- total magnetic moment (μB per formula unit) = 0.00
- uncorrected energy (eV/atom) = -4.420
- density (Mg/m³) = 9.85
- E_form (eV per atom) = -0.035

---

(7)
A plane-wave DFT calculation with GGA-PBE was carried out for Th4Cd5Cu2 after structural relaxation.

a b c (Å): 7.9151 3.4401 10.1928
angles (deg): 90.00 93.51 90.00
Fractional positions:
1 Th 0.1521 0.0000 0.3663
2 Th 0.2485 0.0000 0.9530
3 Th 0.7515 0.0000 0.0470
4 Th 0.8479 0.0000 0.6337
5 Cd 0.2043 0.5000 0.6634
6 Cd 0.4416 0.5000 0.2008
7 Cd 0.5000 0.5000 0.5000
8 Cd 0.5584 0.5000 0.7992
9 Cd 0.7957 0.5000 0.3366
10 Cu 0.0533 0.5000 0.1305
11 Cu 0.9467 0.5000 0.8695

Output
- crystal system = monoclinic
- total magnetic moment (μB per formula unit) = 0.00
- uncorrected energy (eV/atom) = -3.968
- density (Mg/m³) = 9.69
- E_form (eV per atom) = -0.109

---

(8)
A plane-wave DFT calculation with GGA-PBE was carried out for Th3Cd5Cu2 after structural relaxation.

a b c (Å): 9.2765 9.2765 9.2765
angles (deg): 99.95 93.83 139.51
Fractional positions:
1 Th 0.1373 0.7463 0.8836
2 Th 0.2500 0.2500 0.0000
3 Th 0.3627 0.2463 0.6090
4 Th 0.6373 0.7537 0.3910
5 Th 0.7500 0.7500 0.0000
6 Th 0.8627 0.2537 0.1164
7 Cd 0.0061 0.7500 0.2561
8 Cd 0.1134 0.3468 0.4602
9 Cd 0.2500 0.7500 0.5000
10 Cd 0.3866 0.8468 0.2334
11 Cd 0.4939 0.7500 0.7439
12 Cd 0.5061 0.2500 0.2561
13 Cd 0.6134 0.1532 0.7666
14 Cd 0.7500 0.2500 0.5000
15 Cd 0.8866 0.6532 0.5398
16 Cd 0.9939 0.2500 0.7439
17 Cu 0.1428 0.1390 0.2817
18 Cu 0.3572 0.6390 0.9962
19 Cu 0.6428 0.3610 0.0038
20 Cu 0.8572 0.8610 0.7183

Output
- crystal system = orthorhombic
- total magnetic moment (μB per formula unit) = 0.00
- uncorrected energy (eV/atom) = -3.501
- density (Mg/m³) = 9.48
- E_form (eV per atom) = 0.002

---

(9)
A plane-wave DFT calculation with GGA-PBE was carried out for Th2Cd6Cu3 after structural relaxation.

a b c (Å): 8.2335 8.2335 4.1432
angles (deg): 90.00 90.00 120.00
Fractional positions:
1 Th 0.3333 0.6667 0.0000
2 Th 0.6667 0.3333 0.0000
3 Cd 0.0000 0.2948 0.5000
4 Cd 0.0000 0.7959 0.0000
5 Cd 0.2041 0.2041 0.0000
6 Cd 0.2948 0.0000 0.5000
7 Cd 0.7052 0.7052 0.5000
8 Cd 0.7959 0.0000 0.0000
9 Cu 0.0000 0.6049 0.5000
10 Cu 0.3951 0.3951 0.5000
11 Cu 0.6049 0.0000 0.5000

Output
- crystal system = hexagonal
- total magnetic moment (μB per formula unit) = 0.00
- uncorrected energy (eV/atom) = -3.009
- density (Mg/m³) = 9.07
- E_form (eV per atom) = -0.044

---

(10)
A plane-wave DFT calculation with GGA-PBE was carried out for ThCd2Cu9 after structural relaxation.

a b c (Å): 8.5637 8.5637 8.5637
angles (deg): 34.72 34.72 34.72
Fractional positions:
1 Th 0.0000 0.0000 0.0000
2 Cd 0.1446 0.1446 0.1446
3 Cd 0.8554 0.8554 0.8554
4 Cu 0.0820 0.5851 0.5851
5 Cu 0.3333 0.3333 0.3333
6 Cu 0.4149 0.4149 0.9180
7 Cu 0.4149 0.9180 0.4149
8 Cu 0.5000 0.5000 0.5000
9 Cu 0.5851 0.0820 0.5851
10 Cu 0.5851 0.5851 0.0820
11 Cu 0.6667 0.6667 0.6667
12 Cu 0.9180 0.4149 0.4149

Output
- crystal system = trigonal
- total magnetic moment (μB per formula unit) = 0.00
- uncorrected energy (eV/atom) = -3.953
- density (Mg/m³) = 9.39
- E_form (eV per atom) = -0.110

---

(11)
A plane-wave DFT calculation with GGA-PBE was carried out for ThCdCu17 after structural relaxation.

a b c (Å): 6.4478 6.4478 6.4478
angles (deg): 82.89 82.89 82.89
Fractional positions:
1 Th 0.0000 0.0000 0.0000
2 Cd 0.3172 0.3172 0.3172
3 Cu 0.0104 0.0104 0.4983
4 Cu 0.0104 0.4983 0.0104
5 Cu 0.1567 0.6651 0.6651
6 Cu 0.3164 0.3164 0.8041
7 Cu 0.3164 0.8041 0.3164
8 Cu 0.3644 0.6575 0.9591
9 Cu 0.3644 0.9591 0.6575
10 Cu 0.4983 0.0104 0.0104
11 Cu 0.5572 0.5572 0.5572
12 Cu 0.6575 0.3644 0.9591
13 Cu 0.6575 0.9591 0.3644
14 Cu 0.6651 0.1567 0.6651
15 Cu 0.6651 0.6651 0.1567
16 Cu 0.7530 0.7530 0.7530
17 Cu 0.8041 0.3164 0.3164
18 Cu 0.9591 0.3644 0.6575
19 Cu 0.9591 0.6575 0.3644

Output
- crystal system = trigonal
- total magnetic moment (μB per formula unit) = 0.00
- uncorrected energy (eV/atom) = -4.114
- density (Mg/m³) = 9.02
- E_form (eV per atom) = -0.011

---

(12)
A plane-wave DFT calculation with GGA-PBE was carried out for ThCd2Cu2 after structural relaxation.

a b c (Å): 5.4894 5.4894 5.2122
angles (deg): 103.50 103.50 43.35
Fractional positions:
1 Th 0.0000 0.0000 0.0000
2 Cd 0.3551 0.3551 0.4321
3 Cd 0.6449 0.6449 0.5679
4 Cu 0.2802 0.2802 0.8859
5 Cu 0.7198 0.7198 0.1141

Output
- crystal system = monoclinic
- total magnetic moment (μB per formula unit) = 0.00
- uncorrected energy (eV/atom) = -3.611
- density (Mg/m³) = 9.29
- E_form (eV per atom) = -0.123